Record 1
Density functional theory data (PBE with a Hubbard U) for an optimized crystal structure of CdBMoO4.

Values from the calculation:
The crystal system is orthorhombic. The symmetry is Cmcm (63).

Cell: 5.087 5.087 6.552 Å, 90.00 90.00 116.73°
Positions (direct):
Cd (0.177, 0.823, 0.750)
Cd (0.823, 0.177, 0.250)
B (0.163, 0.837, 0.250)
B (0.837, 0.163, 0.750)
Mo (0.500, 0.500, 0.000)
Mo (0.500, 0.500, 0.500)
O (0.181, 0.284, 0.750)
O (0.258, 0.742, 0.069)
O (0.258, 0.742, 0.431)
O (0.284, 0.181, 0.250)
O (0.716, 0.819, 0.750)
O (0.742, 0.258, 0.569)
O (0.742, 0.258, 0.931)
O (0.819, 0.716, 0.250)

Record 2
Density functional theory data (PBE with a Hubbard U) for an optimized crystal structure of CdBMoO5.

Values from the calculation:
The crystal system is monoclinic. The symmetry is C2/c (15).

Cell: 5.318 5.318 7.300 Å, 105.09 105.09 104.79°
Positions (direct):
Cd (0.158, 0.842, 0.750)
Cd (0.842, 0.158, 0.250)
B (0.187, 0.813, 0.250)
B (0.813, 0.187, 0.750)
Mo (0.500, 0.500, 0.000)
Mo (0.500, 0.500, 0.500)
O (0.105, 0.253, 0.893)
O (0.188, 0.621, 0.366)
O (0.253, 0.105, 0.393)
O (0.379, 0.812, 0.134)
O (0.418, 0.582, 0.750)
O (0.582, 0.418, 0.250)
O (0.621, 0.188, 0.866)
O (0.747, 0.895, 0.607)
O (0.812, 0.379, 0.634)
O (0.895, 0.747, 0.107)

Record 3
Density functional theory data (PBE with a Hubbard U) for an optimized crystal structure of Cd2B2MoO6.

Values from the calculation:
The crystal system is trigonal. Its density of states at the Fermi level is 0.0127 states/eV per atom. The symmetry is P-3 (147).

Cell: 4.846 4.846 7.429 Å, 90.00 90.00 120.00°
Positions (direct):
Cd (0.333, 0.667, 0.368)
Cd (0.667, 0.333, 0.632)
B (0.333, 0.667, 0.834)
B (0.667, 0.333, 0.166)
Mo (0.000, 0.000, 0.000)
O (0.063, 0.695, 0.832)
O (0.305, 0.368, 0.832)
O (0.368, 0.063, 0.168)
O (0.632, 0.937, 0.832)
O (0.695, 0.632, 0.168)
O (0.937, 0.305, 0.168)

Record 4
Density functional theory data (PBE with a Hubbard U) for an optimized crystal structure of CdB2MoO.

Values from the calculation:
The crystal system is tetragonal. Its density of states at the Fermi level is 0.2590 states/eV per atom. The symmetry is P4/mmm (123).

Cell: 3.935 3.935 4.076 Å, 90.00 90.00 90.00°
Positions (direct):
Cd (0.000, 0.000, 0.000)
B (0.000, 0.500, 0.500)
B (0.500, 0.000, 0.500)
Mo (0.500, 0.500, 0.000)
O (0.000, 0.000, 0.500)

What did we get for V? Answer: 10.82; 11.28; 13.74; 12.62 Å³ per atom, in the order shown.
What did we get for total energy? Answer: -6.64; -6.62; -6.43; -3.65 eV/atom, in the order shown.